[1]
Density functional theory data (PBE) for Pm5Pr2DyTm after structural relaxation.

The structure in extended XYZ format:
```
18
Lattice="8.6252 0.0000 0.0000 0.0000 8.6252 0.0000 -4.3126 -4.3126 8.3253" Properties=species:S:1:pos:R:3 pbc="T T T"
Pr 1.0492 3.2633 0.0000
Tm 4.3126 0.0000 4.1626
Dy 4.3126 4.3126 4.1626
Pr 3.2633 7.5759 0.0000
Pm -1.8848 -2.4278 5.9306
Pm -2.4278 1.8848 5.9306
Pm 2.4278 1.8848 2.3947
Pm 6.7404 2.4278 2.3947
Pr 7.5759 5.3618 0.0000
Pm 1.8848 2.4278 5.9306
Pm 4.3126 4.3126 0.0000
Pm 6.1974 6.7404 2.3947
Pr 5.3618 1.0492 0.0000
Dy 0.0000 0.0000 4.1626
Pm 2.4278 -1.8848 5.9306
Pm 0.0000 0.0000 0.0000
Pm 1.8848 6.1974 2.3947
Tm 0.0000 4.3126 4.1626
```

Properties
Its volume is 34.41 Å³/atom. As for the space group: No. 140. Its formation energy is 272 meV per atom.

=====

[2]
Density functional theory data (PBE) for PmPrDy3Tm after structural relaxation.

The structure in extended XYZ format:
```
12
Lattice="-0.0494 -3.9839 3.1267 2.2950 -2.4916 -7.2541 9.6703 1.7969 2.4422" Properties=species:S:1:pos:R:3 pbc="T T T"
Pm 9.5221 -3.1344 -3.8568
Dy 6.3395 -2.0720 -2.5497
Dy 0.7415 -3.5049 -0.3565
Dy 8.0188 -0.1648 -0.0890
Pr 0.0000 0.0000 0.0000
Tm 3.1818 -1.0598 -1.3055
Dy 5.5763 -2.6065 0.8645
Dy 11.1744 -1.1736 -1.3287
Pr 4.8351 0.8985 1.2211
Dy 3.8971 -4.5138 -1.5962
Tm 8.7340 -3.6187 -0.3797
Pm 2.3937 -1.5441 2.1717
```

Properties
Its volume is 32.47 Å³/atom. As for the space group: No. 11. Its formation energy is 23 meV per atom.

=====

[3]
Density functional theory data (PBE) for PmPr2Dy3Tm6 after structural relaxation.

The structure in extended XYZ format:
```
12
Lattice="-6.1458 0.4429 -0.1244 2.6799 -5.5392 0.3425 0.9604 2.3086 11.4239" Properties=species:S:1:pos:R:3 pbc="T T T"
Tm -2.0993 0.2980 2.8763
Dy -1.2527 -1.3939 5.8210
Tm -3.3457 -1.0933 8.6101
Tm -0.1414 0.4609 8.5780
Pr -3.2040 -1.5511 0.0312
Tm -2.3641 -3.2486 3.0639
Pm 0.0000 0.0000 0.0000
Tm -0.4061 -3.0858 8.7657
Dy -4.1947 0.6003 5.6653
Pr -0.2619 -3.5453 0.1868
Dy 1.6893 -3.3880 5.9766
Tm 0.8403 -1.6945 3.0318
```

Properties
Its volume is 31.58 Å³/atom. As for the space group: No. 12. Its formation energy is 23 meV per atom.

=====

[4]
Density functional theory data (PBE) for Pm6Pr2Dy3Tm after structural relaxation.

The structure in extended XYZ format:
```
12
Lattice="6.2742 -0.0003 0.0033 -3.1358 5.4343 0.0033 -1.0528 -1.8229 11.7989" Properties=species:S:1:pos:R:3 pbc="T T T"
Pm -1.0416 1.7985 2.9852
Tm 0.0000 0.0000 0.0000
Dy -2.0976 3.6193 5.9028
Pr 0.0003 3.6231 0.0033
Pm 3.1272 1.8127 8.8204
Pr 3.1381 1.8109 0.0033
Pm 0.0072 3.6146 8.8204
Pm 2.0783 -0.0034 2.9852
Dy 1.0428 1.8056 5.9028
Pm -0.0093 -0.0161 8.8120
Dy 4.1832 -0.0081 5.9028
Pm 2.0948 3.6272 2.9935
```

Properties
Its volume is 33.53 Å³/atom. As for the space group: No. 12. Its formation energy is 15 meV per atom.

=====

[5]
Density functional theory data (PBE) for Pm6Pr3DyTm2 after structural relaxation.

The structure in extended XYZ format:
```
12
Lattice="6.2985 -0.0018 0.0064 -3.1493 5.4547 0.0064 -1.0629 -1.8405 11.8176" Properties=species:S:1:pos:R:3 pbc="T T T"
Pm -0.0144 3.6157 8.9436
Pm -1.0527 1.8178 2.8868
Pr -2.1052 3.6245 5.9152
Pm 3.1390 1.7945 8.9436
Pm 2.0965 3.6301 2.8925
Tm 3.1492 1.8170 0.0064
Pr 1.0431 1.8062 5.9152
Dy 0.0000 0.0000 0.0000
Pm 2.1007 -0.0034 2.8868
Tm 0.0000 3.6358 0.0064
Pr 4.1915 -0.0121 5.9152
Pm -0.0102 -0.0177 8.9379
```

Properties
Its volume is 33.84 Å³/atom. As for the space group: No. 12. Its formation energy is 19 meV per atom.

=====

[6]
Density functional theory data (PBE) for PmPr5Dy2Tm after structural relaxation.

The structure in extended XYZ format:
```
18
Lattice="9.4876 0.0000 0.0000 0.0000 9.4876 0.0000 -4.7438 -4.7438 7.0739" Properties=species:S:1:pos:R:3 pbc="T T T"
Pr 2.8282 1.9156 1.8745
Tm 0.0000 4.7438 3.5369
Dy 3.7160 8.4598 0.0000
Pm 0.0000 0.0000 3.5369
Tm 4.7438 0.0000 3.5369
Pr 1.9156 6.6594 1.8745
Pr 7.5720 2.8282 1.8745
Pr 1.9156 2.8282 5.1993
Pr -2.8282 1.9156 5.1993
Dy 8.4598 5.7717 0.0000
Pr 4.7438 4.7438 0.0000
Pm 4.7438 4.7438 3.5369
Pr 0.0000 0.0000 0.0000
Pr -1.9156 -2.8282 5.1993
Pr 2.8282 -1.9156 5.1993
Dy 5.7717 1.0278 0.0000
Pr 6.6594 7.5720 1.8745
Dy 1.0278 3.7160 0.0000
```

Properties
Its volume is 35.38 Å³/atom. As for the space group: No. 140. Its formation energy is 296 meV per atom.

=====

[7]
Density functional theory data (PBE) for Pm2PrDy6Tm3 after structural relaxation.

The structure in extended XYZ format:
```
12
Lattice="6.1695 0.0014 0.0107 -3.0820 5.3446 0.0107 -1.0466 -1.8121 11.5998" Properties=species:S:1:pos:R:3 pbc="T T T"
Dy -1.0301 1.7802 2.9645
Dy 3.0711 1.7537 8.6567
Tm 4.1033 -0.0135 5.8106
Dy -0.0144 -0.0250 8.6457
Dy 2.0554 3.5589 2.9755
Dy -0.0158 3.5365 8.6567
Tm 1.0205 1.7670 5.8106
Tm -2.0624 3.5474 5.8106
Pr 0.0000 0.0000 0.0000
Dy 2.0568 -0.0026 2.9645
Pm 0.0022 3.5633 0.0107
Pm 3.0853 1.7827 0.0107
```

Properties
Its volume is 31.90 Å³/atom. As for the space group: No. 12. Its formation energy is 21 meV per atom.

=====

[8]
Density functional theory data (PBE) for Pm3Pr6DyTm2 after structural relaxation.

The structure in extended XYZ format:
```
12
Lattice="-2.2093 -5.9108 0.5958 5.5626 1.5820 2.5939 -6.6329 4.5068 8.8996" Properties=species:S:1:pos:R:3 pbc="T T T"
Pr -1.1885 1.4004 9.4391
Pr -2.0911 -1.2225 2.6503
Tm 0.3819 -3.4127 1.2620
Dy 0.0000 0.0000 0.0000
Pr -3.7826 -1.1005 8.7721
Pr -4.1603 2.3119 7.5128
Pm -1.6398 0.0890 6.0447
Pm -4.2298 -2.4080 5.3788
Pm 0.9502 2.5860 6.7105
Tm 2.9714 -0.9161 1.9278
Pr 0.5030 1.2785 3.3172
Pr 0.8807 -2.1340 4.5766
```

Properties
Its volume is 34.19 Å³/atom. As for the space group: No. 12. Its formation energy is 15 meV per atom.